#w
Below is YAlZn3 after structural relaxation, with properties calculated at the PBE level.

Summary:
As for the mass density: 5.6 Mg/m³. Its density of states at the Fermi level is 4.766 states/eV per cell.

Lattice parameters (Å, degrees): 5.952 5.973 5.986 90.00 119.29 90.00
Positions (direct):
Y 0.000 0.000 0.000
Y 0.500 0.500 0.000
Al 0.115 0.500 0.232
Al 0.615 0.000 0.232
Zn 0.002 0.247 0.505
Zn 0.002 0.753 0.505
Zn 0.384 0.000 0.767
Zn 0.502 0.253 0.505
Zn 0.502 0.747 0.505
Zn 0.884 0.500 0.767

#x
Below is YAlZn3 after structural relaxation, with properties calculated at the PBE level.

Summary:
As for the mass density: 3.1 Mg/m³. Its density of states at the Fermi level is 9.205 states/eV per cell.

Lattice parameters (Å, degrees): 5.527 5.527 5.527 90.00 90.00 90.00
Positions (direct):
Y 0.000 0.000 0.000
Al 0.500 0.500 0.500
Zn 0.000 0.000 0.500
Zn 0.000 0.500 0.000
Zn 0.500 0.000 0.000

Least stable of them? #x.